(1)
The following is a meta-GGA SCAN calculation of a PBEsol-optimized structure of Ca2ZnIr, from the Alexandria database.

Cell: 3.3984 3.3984 26.9816 Å, 90.00 90.00 120.00°
With the nearest neighbours (Å) after each atom.
Space group R-3m (No. 166, hexagonal axes)
Unique sites:
Ca 0.0000 0.0000 0.2415 (multiplicity 6)  3 Ir 2.82
Zn 0.0000 0.0000 0.0000 (multiplicity 3)  6 Ca 3.16, 6 Zn 3.40
Ir 0.0000 0.0000 0.5000 (multiplicity 3)  6 Ca 2.82

Results
* DOS at the Fermi energy: 0.67 states/eV per atom
* magnetic moment: 0.0 μB per formula unit
* E_tot: -310.3 eV for the cell shown

=====

(2)
The following is a meta-GGA SCAN calculation of a PBEsol-optimized structure of RePt3, from the Alexandria database.

Cell: 2.7318 2.7318 7.9172 Å, 90.00 90.00 90.00°
With the nearest neighbours (Å) after each atom.
Space group P4/mmm (No. 123)
Unique sites:
Re 0.0000 0.0000 0.0000 (multiplicity 1)  8 Pt 2.70, 4 Re 2.73
Pt 0.0000 0.0000 0.5000 (multiplicity 1)  12 Pt 2.73-2.83
Pt 0.5000 0.5000 0.2389 (multiplicity 2)  4 Re 2.70, 8 Pt 2.73-2.83

Results
* DOS at the Fermi energy: 0.58 states/eV per atom
* magnetic moment: 0.0 μB per formula unit
* E_tot: -282.3 eV for the cell shown

=====

(3)
The following is a meta-GGA SCAN calculation of a PBEsol-optimized structure of InRePb2, from the Alexandria database.

Cell: 3.4704 5.2279 10.2773 Å, 90.00 90.00 90.00°
With the nearest neighbours (Å) after each atom.
Space group Cmm2 (No. 35)
Unique sites:
In 0.0000 0.0000 0.0000 (multiplicity 2)  2 Re 2.73
Re 0.0000 0.5000 0.2046 (multiplicity 2)  2 In 2.73, 2 Pb 2.80
Pb 0.0000 0.0000 0.4187 (multiplicity 2)  2 Re 2.80, 4 Pb 3.14
Pb 0.0000 0.5000 0.7366 (multiplicity 2)  6 Pb 3.14-3.47, 2 In 3.22

Results
* DOS at the Fermi energy: 0.73 states/eV per atom
* magnetic moment: 0.7 μB per formula unit
* offset from the most stable computed form: 26.0 meV per atom

=====

(4)
The following is a meta-GGA SCAN calculation of a PBEsol-optimized structure of YMg2Cd, from the Alexandria database.

Cell: 3.3072 3.3072 8.6064 Å, 90.00 90.00 90.00°
With the nearest neighbours (Å) after each atom.
Space group P4/mmm (No. 123)
Unique sites:
Y 0.0000 0.0000 0.0000 (multiplicity 1)  4 Y 3.31, 8 Mg 3.35
Mg 0.5000 0.5000 0.2784 (multiplicity 2)  4 Cd 3.02, 4 Mg 3.31, 4 Y 3.35
Cd 0.0000 0.0000 0.5000 (multiplicity 1)  8 Mg 3.02, 4 Cd 3.31

Results
* DOS at the Fermi energy: 0.64 states/eV per atom
* magnetic moment: 0.4 μB per formula unit
* E_tot: -68.8 eV for the cell shown

=====

(5)
The following is a meta-GGA SCAN calculation of a PBEsol-optimized structure of Tl2InSe, from the Alexandria database.

Cell: 4.7520 4.7520 4.7204 Å, 90.00 90.00 90.00°
With the nearest neighbours (Å) after each atom.
Space group P4/mmm (No. 123)
Unique sites:
Tl 0.0000 0.5000 0.0000 (multiplicity 2)  4 Se 3.35, 4 In 3.35, 4 Tl 3.36
In 0.0000 0.0000 0.5000 (multiplicity 1)  8 Tl 3.35, 4 Se 3.36
Se 0.5000 0.5000 0.5000 (multiplicity 1)  8 Tl 3.35, 4 In 3.36

Results
* uncorrected formation energy: -0.6 eV/f.u.
* DOS at the Fermi energy: 0.30 states/eV per atom
* magnetic moment: 0.0 μB per formula unit
* offset from the most stable computed form: 103.1 meV per atom

=====

(6)
The following is a meta-GGA SCAN calculation of a PBEsol-optimized structure of AlTlGaMo2, from the Alexandria database.

Cell: 4.6325 4.6325 4.7980 Å, 90.00 90.00 90.00°
With the nearest neighbours (Å) after each atom.
Space group P4/mmm (No. 123)
Unique sites:
Al 0.0000 0.0000 0.0000 (multiplicity 1)  4 Mo 2.32, 2 Tl 2.40
Tl 0.0000 0.0000 0.5000 (multiplicity 1)  2 Al 2.40
Ga 0.5000 0.5000 0.5000 (multiplicity 1)  4 Tl 3.28, 8 Mo 3.33
Mo 0.0000 0.5000 0.0000 (multiplicity 2)  2 Al 2.32

Results
* DOS at the Fermi energy: 0.92 states/eV per atom
* magnetic moment: 3.3 μB per formula unit
* E_tot: -158.7 eV for the cell shown

=====

(7)
The following is a meta-GGA SCAN calculation of a PBEsol-optimized structure of Er3TaO7, from the Alexandria database.

Cell: 7.2856 10.3758 7.4014 Å, 90.00 90.00 90.00°
With the nearest neighbours (Å) after each atom.
Space group Pnma (No. 62)
Unique sites:
Er 0.0166 0.2500 0.2043 (multiplicity 4)  6 O 2.26-2.34
Er 0.2487 0.0224 0.5359 (multiplicity 8)  6 O 2.20-2.37
Ta 0.0029 0.2500 0.7509 (multiplicity 4)  6 O 1.92-2.03
O 0.0404 0.1240 0.9567 (multiplicity 8)  1 Ta 2.03, 2 Er 2.24-2.26
O 0.0448 0.6078 0.4089 (multiplicity 8)  1 Ta 1.92
O 0.2404 0.6164 0.7692 (multiplicity 8)  4 Er 2.20-2.34
O 0.2485 0.2500 0.6536 (multiplicity 4)  2 Ta 1.93-1.98

Results
* uncorrected formation energy: -41.1 eV/f.u.
* DOS at the Fermi energy: 0.00 states/eV per atom
* magnetic moment: 0.0 μB per formula unit
* offset from the most stable computed form: 20.3 meV per atom

=====

(8)
The following is a meta-GGA SCAN calculation of a PBEsol-optimized structure of V3FeP6O24, from the Alexandria database.

Cell: 8.3615 8.3615 21.4921 Å, 90.00 90.00 120.00°
With the nearest neighbours (Å) after each atom.
Space group R3 (No. 146, hexagonal axes)
Unique sites:
V 0.0000 0.0000 0.0000 (multiplicity 3)  6 O 1.84-1.89
V 0.0000 0.0000 0.2197 (multiplicity 3)  6 O 1.83-1.86
V 0.0000 0.0000 0.4971 (multiplicity 3)  6 O 1.81-1.90
Fe 0.0000 0.0000 0.7190 (multiplicity 3)  6 O 1.96-1.99
P 0.0055 0.7254 0.1086 (multiplicity 9)  4 O 1.51-1.56
P 0.0541 0.3842 0.2762 (multiplicity 9)  4 O 1.50-1.56
O 0.0135 0.8281 0.1687 (multiplicity 9)  1 P 1.53
O 0.0164 0.1914 0.5493 (multiplicity 9)  1 P 1.54
O 0.0614 0.8573 0.0523 (multiplicity 9)  1 P 1.54
O 0.0682 0.8476 0.7690 (multiplicity 9)  1 P 1.51
O 0.1569 0.4790 0.9331 (multiplicity 9)  1 P 1.55
O 0.1614 0.6764 0.1153 (multiplicity 9)  1 P 1.56
O 0.1821 0.4499 0.3314 (multiplicity 9)  1 P 1.50
O 0.1856 0.4603 0.6202 (multiplicity 9)  1 P 1.56

Results
* uncorrected formation energy: -80.4 eV/f.u.
* magnetic moment: 5.0 μB per formula unit

=====

| no. | V (Å³/atom) |
| --- | --- |
| 1 | 22.489 |
| 2 | 14.771 |
| 3 | 23.308 |
| 4 | 23.533 |
| 5 | 26.648 |
| 6 | 20.593 |
| 7 | 12.716 |
| 8 | 12.758 |